# Tb2BeGa4Pd3 (PBE, relaxed)
data_Tb2BeGa4Pd3
_chemical_formula_sum 'Tb2 Be1 Ga4 Pd3'
_space_group_name_H-M_alt 'P -4 m 2'
_space_group_IT_number 115
_cell_length_a 4.0233
_cell_length_b 4.0233
_cell_length_c 11.2230
_cell_angle_alpha 90.00
_cell_angle_beta 90.00
_cell_angle_gamma 90.00
loop_
_space_group_symop_operation_xyz
'x,y,z'
'y,-x,-z'
'-x,-y,z'
'-y,x,-z'
'-x,y,z'
'-y,-x,-z'
'x,-y,z'
'y,x,-z'
loop_
_atom_site_label
_atom_site_fract_x
_atom_site_fract_y
_atom_site_fract_z
_atom_site_occupancy
Tb1 0.0000 0.5000 0.2420 1
Be1 0.5000 0.5000 0.0000 1
Ga1 0.0000 0.0000 0.5000 1
Ga2 0.0000 0.5000 0.8706 1
Ga3 0.5000 0.5000 0.5000 1
Pd1 0.0000 0.0000 0.0000 1
Pd2 0.0000 0.5000 0.6461 1
# * ρ: 8455 kg/m3
# * VASP energy: -47.3 eV/cell
# * total magnetization: 0.0 μB/cell
# * ΔE_f: -0.66 eV per atom
# * Fermi-level density of states: 5.47 states/eV per cell
# * V: 18.17 Å³ per atom

---

# TbBe2GaPd5 (PBE, relaxed)
data_TbBe2GaPd5
_chemical_formula_sum 'Tb1 Be2 Ga1 Pd5'
_space_group_name_H-M_alt 'P 4/m m m'
_space_group_IT_number 123
_space_group_name_Hall '-P 4 2'
_cell_length_a 4.3993
_cell_length_b 4.3993
_cell_length_c 7.0941
_cell_angle_alpha 90.00
_cell_angle_beta 90.00
_cell_angle_gamma 90.00
loop_
_atom_site_label
_atom_site_fract_x
_atom_site_fract_y
_atom_site_fract_z
_atom_site_occupancy
Tb1 0.0000 0.0000 0.0000 1
Be1 0.5000 0.5000 0.3366 1
Ga1 0.0000 0.0000 0.5000 1
Pd1 0.0000 0.5000 0.2887 1
Pd2 0.5000 0.5000 0.0000 1
# * ρ: 9419 kg/m3
# * VASP energy: -46.2 eV/cell
# * total magnetization: 0.0 μB/cell
# * ΔE_f: -0.57 eV per atom
# * Fermi-level density of states: 3.95 states/eV per cell
# * V: 15.26 Å³ per atom

---

Q: Which value of total magnetization does entry 1 give?
A: 0.0 μB/cell

---

Q: What is the VASP energy in the second record?
A: -46.2 eV/cell

---

Q: What is the ΔE_f in the second record?
A: -0.57 eV per atom